The following is a DFT calculation (GGA-PBEsol) of Rb2NaAuF6 after structural relaxation.

Unit cell a=6.140 b=6.140 c=6.140 alpha=60.00 beta=60.00 gamma=60.00
Site moments in Bohr magnetons follow the coordinates.
Sites, in units of the cell vectors:
F  0.243  0.243  0.757  0.14
Rb  0.750  0.750  0.750  0.00
F  0.757  0.243  0.243  0.14
Na  0.500  0.500  0.500  0.01
Rb  0.250  0.250  0.250  0.00
F  0.757  0.243  0.757  0.14
F  0.243  0.757  0.243  0.14
F  0.757  0.757  0.243  0.14
Au  0.000  0.000  0.000  1.06
F  0.243  0.757  0.757  0.14

The following is a DFT calculation (GGA-PBEsol) of NbAu3F after structural relaxation.

Unit cell a=4.467 b=4.467 c=4.467 alpha=90.00 beta=90.00 gamma=90.00
Site moments in Bohr magnetons follow the coordinates.
Sites, in units of the cell vectors:
Nb  0.500  0.500  0.500  1.97
Au  0.000  0.000  0.500  0.17
Au  0.000  0.500  0.000  0.17
Au  0.500  0.000  0.000  0.17
F  0.000  0.000  0.000  0.09

The following is a DFT calculation (GGA-PBEsol) of NbAuOF2 after structural relaxation.

Unit cell a=3.929 b=4.211 c=4.211 alpha=90.00 beta=90.00 gamma=90.00
Site moments in Bohr magnetons follow the coordinates.
Sites, in units of the cell vectors:
F  0.000  0.500  0.000  0.03
O  0.500  0.000  0.000  -0.04
Nb  0.000  0.000  0.000  0.89
F  0.000  0.000  0.500  0.03
Au  0.500  0.500  0.500  0.07

The following is a DFT calculation (GGA-PBEsol) of NbPdAuF2 after structural relaxation.

Unit cell a=4.004 b=4.004 c=5.606 alpha=90.00 beta=90.00 gamma=90.00
Sites, in units of the cell vectors:
F  0.500  0.000  0.000
Au  0.000  0.000  0.000
Pd  0.500  0.500  0.500
F  0.000  0.500  0.000
Nb  0.000  0.000  0.500

The following is a DFT calculation (GGA-PBEsol) of NiAu3F after structural relaxation.

Unit cell a=4.622 b=4.622 c=4.622 alpha=90.00 beta=90.00 gamma=90.00
Site moments in Bohr magnetons follow the coordinates.
Sites, in units of the cell vectors:
Au  0.500  0.000  0.000  0.06
Au  0.000  0.500  0.000  0.06
Au  0.000  0.000  0.500  0.06
Ni  0.000  0.000  0.000  0.45
F  0.500  0.500  0.500  -0.01

The following is a DFT calculation (GGA-PBEsol) of AuO2F6 after structural relaxation.

Unit cell a=4.894 b=5.253 c=5.137 alpha=80.43 beta=105.64 gamma=101.93
Site moments in Bohr magnetons follow the coordinates.
Sites, in units of the cell vectors:
F  0.353  0.918  0.239  -0.02
F  0.947  0.181  0.272  0.01
F  0.794  0.674  0.131  -0.01
Au  0.000  0.000  0.000  -0.01
O  0.389  0.528  0.497  0.43
F  0.647  0.082  0.761  -0.02
F  0.053  0.819  0.728  0.01
F  0.206  0.326  0.869  -0.01
O  0.611  0.472  0.503  0.43

The following is a DFT calculation (GGA-PBEsol) of AuOF2 after structural relaxation.

Unit cell a=2.811 b=2.811 c=7.428 alpha=79.09 beta=79.09 gamma=60.00
Site moments in Bohr magnetons follow the coordinates.
Sites, in units of the cell vectors:
Au  0.500  0.500  0.500  0.02
F  0.923  0.923  0.230  0.09
F  0.077  0.077  0.770  0.09
O  0.000  0.000  0.000  0.88

The following is a DFT calculation (GGA-PBEsol) of RuAuO2F after structural relaxation.

Unit cell a=4.007 b=4.007 c=4.253 alpha=90.00 beta=90.00 gamma=90.00
Site moments in Bohr magnetons follow the coordinates.
Sites, in units of the cell vectors:
Ru  0.500  0.500  0.500  3.18
F  0.000  0.000  0.500  0.05
O  0.500  0.000  0.000  0.21
O  0.000  0.500  0.000  0.21
Au  0.000  0.000  0.000  0.09

| no. | formation energy without anion corrections (meV per atom) |
| --- | --- |
| 1 | -2085 |
| 2 | 744 |
| 3 | -1434 |
| 4 | 331 |
| 5 | 773 |
| 6 | -658 |
| 7 | 320 |
| 8 | 694 |